VASP calculation (SCAN) on Li2TlAu at its PBEsol-relaxed geometry.

Computed properties:
* excess energy over the best structure of this formula in the dataset: 0 meV/atom
* energy of formation: -474 meV/atom

a b c (Å): 3.2302 3.2302 6.4815
angles (deg): 90.00 90.00 90.00
Last column: nearest neighbours and their distance in Å.
Fractional coordinates of all 4 atoms:
Li: 0.0000 0.0000 0.2860  4 Au 2.67, 1 Li 2.77, 4 Tl 2.94
Li: 0.0000 0.0000 0.7140  4 Au 2.67, 1 Li 2.77, 4 Tl 2.94
Tl: 0.5000 0.5000 0.0000  8 Li 2.94, 4 Tl 3.23, 2 Au 3.24
Au: 0.5000 0.5000 0.5000  8 Li 2.67